1 | # CdCu2Bi PBE optimized geometry
data_CdCu2Bi
_chemical_formula_sum 'Cd4 Cu8 Bi4'
_cell_length_a 6.775
_cell_length_b 6.775
_cell_length_c 6.775
_cell_angle_alpha 90.00
_cell_angle_beta 90.00
_cell_angle_gamma 90.00
_space_group_name_H-M_alt 'F -4 3 m'
_space_group_IT_number 216
_space_group_name_Hall 'F -4 2 3'
loop_
_atom_site_label
_atom_site_type_symbol
_atom_site_fract_x
_atom_site_fract_y
_atom_site_fract_z
Cd1 Cd 0.000 0.000 0.000
Cu1 Cu 0.000 0.000 0.500
Cu2 Cu 0.250 0.250 0.250
Bi1 Bi 0.250 0.250 0.750
# Theoretical density = 9.6 g cm⁻³

***

2 | # CdCu2Bi PBE optimized geometry
data_CdCu2Bi
_chemical_formula_sum 'Cd4 Cu8 Bi4'
_cell_length_a 6.704
_cell_length_b 6.704
_cell_length_c 6.704
_cell_angle_alpha 90.00
_cell_angle_beta 90.00
_cell_angle_gamma 90.00
_space_group_name_H-M_alt 'F m -3 m'
_space_group_IT_number 225
_space_group_name_Hall '-F 4 2 3'
loop_
_atom_site_label
_atom_site_type_symbol
_atom_site_fract_x
_atom_site_fract_y
_atom_site_fract_z
Cd1 Cd 0.000 0.000 0.000
Cu1 Cu 0.250 0.250 0.250
Bi1 Bi 0.000 0.000 0.500
# Theoretical density = 9.9 g cm⁻³

***

The structure with the greatest stability is 2.

***

1 | # CdCuNiBi PBE optimized geometry
data_CdCuNiBi
_chemical_formula_sum 'Cd4 Cu4 Ni4 Bi4'
_cell_length_a 6.665
_cell_length_b 6.665
_cell_length_c 6.665
_cell_angle_alpha 90.00
_cell_angle_beta 90.00
_cell_angle_gamma 90.00
_space_group_name_H-M_alt 'F -4 3 m'
_space_group_IT_number 216
_space_group_name_Hall 'F -4 2 3'
loop_
_atom_site_label
_atom_site_type_symbol
_atom_site_fract_x
_atom_site_fract_y
_atom_site_fract_z
Cd1 Cd 0.000 0.000 0.000
Cu1 Cu 0.250 0.250 0.250
Ni1 Ni 0.000 0.000 0.500
Bi1 Bi 0.250 0.250 0.750
# Magnetization = 0.0 μB/f.u.
# Theoretical density = 10.0 g cm⁻³

***

2 | # CdCuNiBi PBE optimized geometry
data_CdCuNiBi
_chemical_formula_sum 'Cd4 Cu4 Ni4 Bi4'
_cell_length_a 6.616
_cell_length_b 6.616
_cell_length_c 6.616
_cell_angle_alpha 90.00
_cell_angle_beta 90.00
_cell_angle_gamma 90.00
_space_group_name_H-M_alt 'F -4 3 m'
_space_group_IT_number 216
_space_group_name_Hall 'F -4 2 3'
loop_
_atom_site_label
_atom_site_type_symbol
_atom_site_fract_x
_atom_site_fract_y
_atom_site_fract_z
Cd1 Cd 0.000 0.000 0.000
Cu1 Cu 0.250 0.250 0.750
Ni1 Ni 0.250 0.250 0.250
Bi1 Bi 0.000 0.000 0.500
# Magnetization = 0.0 μB/f.u.
# Theoretical density = 10.2 g cm⁻³

***

The structure with the greatest stability is 2.

***

1 | # ScCdCuBi PBE optimized geometry
data_ScCdCuBi
_chemical_formula_sum 'Sc4 Cd4 Cu4 Bi4'
_cell_length_a 7.063
_cell_length_b 7.063
_cell_length_c 7.063
_cell_angle_alpha 90.00
_cell_angle_beta 90.00
_cell_angle_gamma 90.00
_space_group_name_H-M_alt 'F -4 3 m'
_space_group_IT_number 216
_space_group_name_Hall 'F -4 2 3'
loop_
_atom_site_label
_atom_site_type_symbol
_atom_site_fract_x
_atom_site_fract_y
_atom_site_fract_z
Sc1 Sc 0.000 0.000 0.000
Cd1 Cd 0.250 0.250 0.250
Cu1 Cu 0.250 0.250 0.750
Bi1 Bi 0.000 0.000 0.500
# Magnetization = 0.0 μB/f.u.
# Theoretical density = 8.1 g cm⁻³

***

2 | # ScCdCuBi PBE optimized geometry
data_ScCdCuBi
_chemical_formula_sum 'Sc4 Cd4 Cu4 Bi4'
_cell_length_a 7.003
_cell_length_b 7.003
_cell_length_c 7.003
_cell_angle_alpha 90.00
_cell_angle_beta 90.00
_cell_angle_gamma 90.00
_space_group_name_H-M_alt 'F -4 3 m'
_space_group_IT_number 216
_space_group_name_Hall 'F -4 2 3'
loop_
_atom_site_label
_atom_site_type_symbol
_atom_site_fract_x
_atom_site_fract_y
_atom_site_fract_z
Sc1 Sc 0.000 0.000 0.000
Cd1 Cd 0.250 0.250 0.750
Cu1 Cu 0.000 0.000 0.500
Bi1 Bi 0.250 0.250 0.250
# Magnetization = 0.0 μB/f.u.
# Theoretical density = 8.3 g cm⁻³

***

The structure with the greatest stability is 2.

***

1 | # TaCdCuBi PBE optimized geometry
data_TaCdCuBi
_chemical_formula_sum 'Ta4 Cd4 Cu4 Bi4'
_cell_length_a 6.919
_cell_length_b 6.919
_cell_length_c 6.919
_cell_angle_alpha 90.00
_cell_angle_beta 90.00
_cell_angle_gamma 90.00
_space_group_name_H-M_alt 'F -4 3 m'
_space_group_IT_number 216
_space_group_name_Hall 'F -4 2 3'
loop_
_atom_site_label
_atom_site_type_symbol
_atom_site_fract_x
_atom_site_fract_y
_atom_site_fract_z
Ta1 Ta 0.000 0.000 0.000
Cd1 Cd 0.250 0.250 0.250
Cu1 Cu 0.250 0.250 0.750
Bi1 Bi 0.000 0.000 0.500
# Magnetization = 1.2 μB/f.u.
# Theoretical density = 11.3 g cm⁻³

***

2 | # TaCdCuBi PBE optimized geometry
data_TaCdCuBi
_chemical_formula_sum 'Ta4 Cd4 Cu4 Bi4'
_cell_length_a 6.861
_cell_length_b 6.861
_cell_length_c 6.861
_cell_angle_alpha 90.00
_cell_angle_beta 90.00
_cell_angle_gamma 90.00
_space_group_name_H-M_alt 'F -4 3 m'
_space_group_IT_number 216
_space_group_name_Hall 'F -4 2 3'
loop_
_atom_site_label
_atom_site_type_symbol
_atom_site_fract_x
_atom_site_fract_y
_atom_site_fract_z
Ta1 Ta 0.000 0.000 0.000
Cd1 Cd 0.250 0.250 0.750
Cu1 Cu 0.000 0.000 0.500
Bi1 Bi 0.250 0.250 0.250
# Magnetization = 0.1 μB/f.u.
# Theoretical density = 11.6 g cm⁻³

***

The structure with the greatest stability is 2.